A plane-wave DFT calculation with PBE was carried out for a geometry-optimized Mg2FeAu2 structure. Values from VASP.

```
&SYSTEM
  ibrav = 0, nat = 10, ntyp = 3
/
ATOMIC_SPECIES
Au 196.97 Au.upf
Mg 24.30 Mg.upf
Fe 55.84 Fe.upf
CELL_PARAMETERS angstrom
6.9428 0.0000 0.0000
0.0000 6.9428 0.0000
0.0000 0.0000 3.8490
ATOMIC_POSITIONS angstrom
Au 4.4777 1.0063 0.0000
Au 1.0063 2.4651 0.0000
Au 2.4651 5.9365 0.0000
Au 5.9365 4.4777 0.0000
Mg 1.1284 4.5998 1.9245
Mg 5.8144 2.3430 1.9245
Mg 4.5998 5.8144 1.9245
Mg 2.3430 1.1284 1.9245
Fe 0.0000 0.0000 0.0000
Fe 3.4714 3.4714 0.0000
```

As for the energy: -37.94 eV for the cell shown. The total magnetization is 3.10 μB per formula unit. The calculation puts the formation energy at -0.153 eV/atom.